First-principles (PBE) data for an optimized crystal structure of TbTlPb4, as listed in the Alexandria database.

Properties
Size of the total moment ... 0.000 μB/atom
Energy ... -21.97 eV for the cell shown

Cell lengths 6.4745, 6.4745, 6.4745 Å; angles 60.00, 60.00, 60.00 degrees
Fractional coordinates of all 6 atoms:
Pb: 0.6257 0.6257 0.1230
Pb: 0.6257 0.1230 0.6257
Pb: 0.6257 0.6257 0.6257
Pb: 0.1230 0.6257 0.6257
Tl: 0.2500 0.2500 0.2500
Tb: 0.0000 0.0000 0.0000